a:
Below is a relaxed structure of CoI2F, with properties calculated at the GGA+U level.

The structure belongs to space group I-42d (No. 122); the cell edges are 6.772, 6.772 and 10.517 Å and the angles 90.00°, 90.00° and 90.00°. The asymmetric unit holds Co at (0.000, 0.000, 0.000), I at (0.220, 0.250, 0.125) and F at (0.000, 0.000, 0.500).

=====

b:
Below is a relaxed structure of CoI2F, with properties calculated at the GGA+U level.

The structure belongs to space group Fm-3m (No. 225); the cell edges are 6.895, 6.895 and 6.895 Å and the angles 90.00°, 90.00° and 90.00°. The asymmetric unit holds Co at (0.000, 0.000, 0.000), I at (0.250, 0.250, 0.250) and F at (0.000, 0.000, 0.500).

=====

Which of them is least stable? Easy: b.

=====

a:
Below is a relaxed structure of CoI3F, with properties calculated at the GGA+U level.

The structure belongs to space group Pm-3m (No. 221); the cell edges are 5.251, 5.251 and 5.251 Å and the angles 90.00°, 90.00° and 90.00°. The asymmetric unit holds Co at (0.000, 0.000, 0.000), I at (0.000, 0.000, 0.500) and F at (0.500, 0.500, 0.500).

=====

b:
Below is a relaxed structure of CoI3F, with properties calculated at the GGA+U level.

The structure belongs to space group Pm-3m (No. 221); the cell edges are 5.281, 5.281 and 5.281 Å and the angles 90.00°, 90.00° and 90.00°. The asymmetric unit holds Co at (0.000, 0.000, 0.000), I at (0.000, 0.500, 0.500) and F at (0.500, 0.500, 0.500).

=====

Which of them is least stable? Easy: b.

=====

a:
Below is a relaxed structure of Co3IF, with properties calculated at the GGA+U level.

The structure belongs to space group Pm-3m (No. 221); the cell edges are 4.739, 4.739 and 4.739 Å and the angles 90.00°, 90.00° and 90.00°. The asymmetric unit holds Co at (0.000, 0.000, 0.500), I at (0.000, 0.000, 0.000) and F at (0.500, 0.500, 0.500).

=====

b:
Below is a relaxed structure of Co3IF, with properties calculated at the GGA+U level.

The structure belongs to space group Pm-3m (No. 221); the cell edges are 4.371, 4.371 and 4.371 Å and the angles 90.00°, 90.00° and 90.00°. The asymmetric unit holds Co at (0.000, 0.000, 0.500), I at (0.500, 0.500, 0.500) and F at (0.000, 0.000, 0.000).

=====

Which of them is least stable? Easy: a.

=====

a:
Below is a relaxed structure of Co2IF2, with properties calculated at the GGA+U level.

The structure belongs to space group I4/mmm (No. 139); the cell edges are 4.191, 4.191 and 9.824 Å and the angles 90.00°, 90.00° and 90.00°. The asymmetric unit holds Co at (0.000, 0.500, 0.250), I at (0.000, 0.000, 0.000) and F at (0.000, 0.000, 0.309).

=====

b:
Below is a relaxed structure of Co2IF2, with properties calculated at the GGA+U level.

The structure belongs to space group P4/mbm (No. 127); the cell edges are 8.032, 8.032 and 3.616 Å and the angles 90.00°, 90.00° and 90.00°. The asymmetric unit holds Co at (0.178, 0.322, 0.000), I at (0.000, 0.000, 0.500) and F at (0.124, 0.376, 0.500).

=====

Which of them is least stable? Easy: b.